# 1
A relaxed structure of Ba2CrNi. Source: the Alexandria database, functional PBE. Values from VASP.

Calculated values
**Energy**: -4.44 eV per atom
**Energy relative to the lowest polymorph listed for this composition**: 0.0 meV per atom
**Space-group type**: Amm2

```
&SYSTEM
  ibrav = 0, nat = 4, ntyp = 3
/
ATOMIC_SPECIES
Ba 137.33 Ba.upf
Cr 52.00 Cr.upf
Ni 58.69 Ni.upf
ATOMIC_POSITIONS crystal
Ba 0.000 0.983 0.909
Ba 0.500 0.261 0.354
Cr 0.000 0.669 0.538
Ni 0.500 0.588 0.699
CELL_PARAMETERS angstrom
-2.376 2.216 3.036
-4.039 -0.951 -2.467
-2.784 -5.844 2.087
```


# 2
A relaxed structure of Ba2CrNi. Source: the Alexandria database, functional PBE. Values from VASP.

Calculated values
**Energy**: -4.33 eV per atom
**Energy relative to the lowest polymorph listed for this composition**: 107.2 meV per atom
**Space-group type**: I-42d

```
&SYSTEM
  ibrav = 0, nat = 8, ntyp = 3
/
ATOMIC_SPECIES
Ni 58.69 Ni.upf
Ba 137.33 Ba.upf
Cr 52.00 Cr.upf
ATOMIC_POSITIONS crystal
Ni 0.000 0.000 0.000
Ni 0.750 0.250 0.500
Ba 0.797 0.125 0.250
Ba 0.953 0.625 0.250
Ba 0.375 0.203 0.750
Ba 0.875 0.047 0.750
Cr 0.500 0.500 0.000
Cr 0.250 0.750 0.500
CELL_PARAMETERS angstrom
-10.349 -4.136 2.655
4.914 -8.765 5.502
-2.708 -5.165 6.118
```


# 3
A relaxed structure of BaCrNi4. Source: the Alexandria database, functional PBE. Values from VASP.

Calculated values
**Energy**: -5.41 eV per atom
**Space-group type**: F-43m

```
&SYSTEM
  ibrav = 0, nat = 6, ntyp = 3
/
ATOMIC_SPECIES
Ba 137.33 Ba.upf
Cr 52.00 Cr.upf
Ni 58.69 Ni.upf
ATOMIC_POSITIONS crystal
Ba 0.750 0.750 0.750
Cr 0.000 0.000 0.000
Ni 0.880 0.373 0.373
Ni 0.373 0.373 0.880
Ni 0.373 0.880 0.373
Ni 0.373 0.373 0.373
CELL_PARAMETERS angstrom
0.000 3.609 3.609
3.609 0.000 3.609
3.609 3.609 0.000
```


no.,total moment (μB/cell)
1,4.1
2,8.0
3,5.4